A relaxed structure of Zn3SnAu3, computed with PBE-GGA.

E_tot (eV/atom): -2.2789
Crystal system: cubic

a = 7.0657 Å, b = 7.0657 Å, c = 7.0657 Å
α = 90.00°, β = 90.00°, γ = 90.00°
With the nearest neighbours (Å) after each atom.
Space group Pm-3n (No. 223)
Inequivalent atoms, fractional coordinates:
Zn (0.0000, 0.2500, 0.5000) [6 per cell]  4 Au 2.50
Sn (0.0000, 0.0000, 0.0000) [2 per cell]  12 Zn 3.95, 12 Au 3.95
Au (0.0000, 0.5000, 0.2500) [6 per cell]  4 Zn 2.50

---

A relaxed structure of Zn12SnAu6, computed with PBE-GGA.

E_tot (eV/atom): -2.1631
Crystal system: trigonal

a = 11.6820 Å, b = 11.6820 Å, c = 8.6959 Å
α = 90.00°, β = 90.00°, γ = 120.00°
With the nearest neighbours (Å) after each atom.
Space group R-3m (No. 166, hexagonal axes)
Inequivalent atoms, fractional coordinates:
Zn (0.0000, 0.3887, 0.0000) [18 per cell]  3 Zn 2.60-2.70, 4 Au 2.65-2.68
Zn (0.0856, 0.1711, 0.7805) [18 per cell]  4 Zn 2.70-3.00, 4 Au 2.71-2.81, 1 Sn 2.99
Sn (0.0000, 0.0000, 0.5000) [3 per cell]  6 Zn 2.99
Au (0.0629, 0.5315, 0.7411) [18 per cell]  8 Zn 2.65-2.81

---

A relaxed structure of ZnSnAu, computed with PBE-GGA.

E_tot (eV/atom): -2.8964
Crystal system: trigonal

a = 4.5166 Å, b = 4.5166 Å, c = 3.5968 Å
α = 90.00°, β = 90.00°, γ = 120.00°
With the nearest neighbours (Å) after each atom.
Space group P3m1 (No. 156)
Inequivalent atoms, fractional coordinates:
Zn (0.0000, 0.0000, 0.0000) [1 per cell]  3 Au 2.61
Sn (0.3333, 0.6667, 0.4895) [1 per cell]  6 Au 3.10-3.24, 6 Zn 3.15-3.19
Au (0.6667, 0.3333, 0.9543) [1 per cell]  3 Zn 2.61

---

A relaxed structure of Zr2Sn2Au, computed with PBE-GGA.

E_tot (eV/atom): -5.9432
Crystal system: tetragonal

a = 7.4052 Å, b = 7.4052 Å, c = 4.2963 Å
α = 90.00°, β = 90.00°, γ = 90.00°
With the nearest neighbours (Å) after each atom.
Space group P4/mbm (No. 127)
Inequivalent atoms, fractional coordinates:
Zr (0.1469, 0.3531, 0.0000) [4 per cell]  2 Au 2.83, 6 Sn 2.95-3.13, 1 Zr 3.08
Sn (0.1594, 0.6594, 0.5000) [4 per cell]  6 Zr 2.95-3.13
Au (0.0000, 0.0000, 0.0000) [2 per cell]  4 Zr 2.83

---

Respective mass density values: 8528 10108 9958 8695 kg/m3.